## Ba2NbSnI (PBE)

Data for a relaxed structure of Ba2NbSnI.

Values from the calculation:
SG: P4/mmm, No. 123
calculated volume: 202.9 Å³/cell
total moment: 0.0 μB/f.u.
energy relative to the elements, uncorrected: -69.9 meV/atom

Structure (CIF):
```
data_Ba2NbSnI
_space_group_name_H-M_alt 'P 1'
_space_group_IT_number 1
_cell_length_a 6.1680
_cell_length_b 5.3337
_cell_length_c 6.1680
_cell_angle_alpha 90.00
_cell_angle_beta 90.00
_cell_angle_gamma 90.00
loop_
_space_group_symop_operation_xyz
'x,y,z'
loop_
_atom_site_label
_atom_site_fract_x
_atom_site_fract_y
_atom_site_fract_z
I1 0.5000 0.5000 0.5000
Nb1 0.0000 0.0000 0.0000
Ba1 0.0000 0.0000 0.5000
Ba2 0.5000 0.0000 0.0000
Sn1 0.0000 0.5000 0.0000
```

---

## Ce6AgIr2 (PBE)

Data for a relaxed structure of Ce6AgIr2.

Values from the calculation:
SG: P2_1/c, No. 14
calculated volume: 461.5 Å³/cell
energy above the lowest structure with this stoichiometry: 14.9 kJ per mole of atoms
total moment: 3.7 μB/f.u.
E_form: -0.25 eV per atom

Structure (CIF):
```
data_Ce6AgIr2
_space_group_name_H-M_alt 'P 1'
_space_group_IT_number 1
_cell_length_a 6.4995
_cell_length_b 7.4136
_cell_length_c 9.5843
_cell_angle_alpha 90.00
_cell_angle_beta 92.09
_cell_angle_gamma 90.00
loop_
_space_group_symop_operation_xyz
'x,y,z'
loop_
_atom_site_label
_atom_site_fract_x
_atom_site_fract_y
_atom_site_fract_z
Ce1 0.8218 0.9501 0.2140
Ce2 0.8349 0.6236 0.5410
Ce3 0.8685 0.6887 0.9156
Ce4 0.6315 0.1887 0.5844
Ce5 0.6651 0.1236 0.9590
Ce6 0.6782 0.4501 0.2860
Ce7 0.1782 0.0499 0.7860
Ce8 0.1651 0.3764 0.4590
Ce9 0.1315 0.3113 0.0844
Ce10 0.3685 0.8113 0.4156
Ce11 0.3349 0.8764 0.0410
Ce12 0.3219 0.5499 0.7140
Ag1 0.5000 0.5000 0.0000
Ag2 0.0000 0.0000 0.5000
Ir1 0.9393 0.3641 0.7860
Ir2 0.5607 0.8641 0.7140
Ir3 0.4393 0.1359 0.2860
Ir4 0.0607 0.6359 0.2140
```

---

## GeTeSe2N (PBE)

Data for a relaxed structure of GeTeSe2N.

Values from the calculation:
SG: P4/mmm, No. 123
calculated volume: 100.1 Å³/cell
energy above the lowest structure with this stoichiometry: 0.0 kJ per mole of atoms
total moment: 0.2 μB/f.u.
energy relative to the elements, uncorrected: 638.4 meV/atom

Structure (CIF):
```
data_GeTeSe2N
_space_group_name_H-M_alt 'P 1'
_space_group_IT_number 1
_cell_length_a 5.2404
_cell_length_b 5.2404
_cell_length_c 3.6456
_cell_angle_alpha 90.00
_cell_angle_beta 90.00
_cell_angle_gamma 90.00
loop_
_space_group_symop_operation_xyz
'x,y,z'
loop_
_atom_site_label
_atom_site_fract_x
_atom_site_fract_y
_atom_site_fract_z
Ge1 0.0000 0.0000 0.0000
Te1 0.5000 0.5000 0.5000
Se1 0.0000 0.5000 0.0000
Se2 0.5000 0.0000 0.0000
N1 0.0000 0.0000 0.5000
```

---

Which of these has the highest total moment?
Ce6AgIr2

---

Look up the total moment of the third one.
0.2 μB/f.u.

---

Please write out number 1 again, unchanged.
## Ba2NbSnI (PBE)

Data for a relaxed structure of Ba2NbSnI.

Values from the calculation:
SG: P4/mmm, No. 123
calculated volume: 202.9 Å³/cell
total moment: 0.0 μB/f.u.
energy relative to the elements, uncorrected: -69.9 meV/atom

Structure (CIF):
```
data_Ba2NbSnI
_space_group_name_H-M_alt 'P 1'
_space_group_IT_number 1
_cell_length_a 6.1680
_cell_length_b 5.3337
_cell_length_c 6.1680
_cell_angle_alpha 90.00
_cell_angle_beta 90.00
_cell_angle_gamma 90.00
loop_
_space_group_symop_operation_xyz
'x,y,z'
loop_
_atom_site_label
_atom_site_fract_x
_atom_site_fract_y
_atom_site_fract_z
I1 0.5000 0.5000 0.5000
Nb1 0.0000 0.0000 0.0000
Ba1 0.0000 0.0000 0.5000
Ba2 0.5000 0.0000 0.0000
Sn1 0.0000 0.5000 0.0000
```

---

The highest total moment belongs to which entry?
Ce6AgIr2